Entry 1:
9
Lattice="6.3333 0.0000 0.0000 -3.1666 5.4848 0.0000 0.0000 0.0000 3.8007" Properties=species:S:1:pos:R:3 comment="HfSiNi (GGA-PBE, optimized geometry)" total_energy_ry_per_atom=-0.574 magnetic_moment_mub_per_fu=0.0 pbc="T T T"
Hf -1.8335 3.1757 0.0000
Hf 1.3332 2.3091 0.0000
Hf 3.6669 0.0000 0.0000
Si 0.0000 0.0000 0.0000
Si 0.0000 3.6565 1.9004
Si 3.1667 1.8283 1.9004
Ni -0.7816 1.3538 1.9004
Ni 1.5632 0.0000 1.9004
Ni 2.3850 4.1310 1.9004

---

Entry 2:
6
Lattice="3.9395 0.0000 0.0000 -1.9698 3.4117 0.0000 0.0000 0.0000 6.7063" Properties=species:S:1:pos:R:3 comment="HfSiNi (GGA-PBE, optimized geometry)" total_energy_ry_per_atom=-0.570 magnetic_moment_mub_per_fu=0.0 pbc="T T T"
Hf 0.0000 0.0000 0.0000
Hf 0.0000 0.0000 3.3532
Si 0.0000 2.2745 1.6766
Si 1.9698 1.1372 5.0297
Ni 0.0000 2.2745 5.0297
Ni 1.9698 1.1372 1.6766

---

Entry 3:
5
Lattice="-1.7749 1.7749 6.2842 1.7749 -1.7749 6.2842 1.7749 1.7749 -6.2842" Properties=species:S:1:pos:R:3 comment="Hf2SiNi2 (GGA-PBE, optimized geometry)" total_energy_ry_per_atom=-0.535 magnetic_moment_mub_per_fu=0.0 pbc="T T T"
Hf 0.0000 0.0000 1.3607
Hf 0.0000 0.0000 11.2076
Si 0.0000 0.0000 6.2842
Ni 1.7749 0.0000 3.1421
Ni 0.0000 1.7749 3.1421

---

Entry 4:
4
Lattice="0.0000 3.1090 3.1090 3.1090 0.0000 3.1090 3.1090 3.1090 0.0000" Properties=species:S:1:pos:R:3 comment="HfSi2Ni (GGA-PBE, optimized geometry)" total_energy_ry_per_atom=-0.488 magnetic_moment_mub_per_fu=0.0 pbc="T T T"
Hf 0.0000 0.0000 0.0000
Si 1.5545 1.5545 1.5545
Si 3.1090 3.1090 3.1090
Ni 4.6634 4.6634 4.6634

---

Entry 5:
8
Lattice="3.8417 0.0000 0.0000 0.0000 5.7058 0.0000 0.0000 0.0000 5.1607" Properties=species:S:1:pos:R:3 comment="HfSi2Ni (GGA-PBE, optimized geometry)" total_energy_ry_per_atom=-0.527 magnetic_moment_mub_per_fu=0.0 pbc="T T T"
Hf 0.0000 0.5002 0.0000
Hf 1.9208 5.2056 2.5804
Si 0.0000 1.4126 2.6226
Si 0.0000 3.6531 3.7393
Si 1.9208 2.0528 1.1589
Si 1.9208 4.2933 0.0423
Ni 0.0000 3.4414 1.2031
Ni 1.9208 2.2645 3.7834

---

Entry 6:
5
Lattice="-1.8764 1.8764 4.8542 1.8764 -1.8764 4.8542 1.8764 1.8764 -4.8542" Properties=species:S:1:pos:R:3 comment="HfSi2Ni2 (GGA-PBE, optimized geometry)" total_energy_ry_per_atom=-0.511 magnetic_moment_mub_per_fu=0.0 pbc="T T T"
Hf 0.0000 0.0000 0.0000
Si 1.8764 0.0000 2.4271
Si 0.0000 1.8764 2.4271
Ni 0.0000 0.0000 3.6954
Ni 0.0000 0.0000 6.0130

---

Entry 7:
4
Lattice="0.0000 2.9974 2.9974 2.9974 0.0000 2.9974 2.9974 2.9974 0.0000" Properties=species:S:1:pos:R:3 comment="HfSiNi2 (GGA-PBE, optimized geometry)" total_energy_ry_per_atom=-0.515 magnetic_moment_mub_per_fu=0.0 pbc="T T T"
Hf 0.0000 0.0000 0.0000
Si 4.4961 4.4961 4.4961
Ni 1.4987 1.4987 1.4987
Ni 2.9974 2.9974 2.9974

---

Entry 8:
8
Lattice="5.0685 0.0000 0.0000 0.0000 3.4261 0.0000 -0.3202 0.0000 6.9981" Properties=species:S:1:pos:R:3 comment="HfSi2Ni (GGA-PBE, optimized geometry)" total_energy_ry_per_atom=-0.513 magnetic_moment_mub_per_fu=0.0 pbc="T T T"
Hf 0.4859 0.8565 2.2368
Hf 4.2623 2.5695 4.7614
Si 0.8533 2.5695 0.1237
Si 1.7278 2.5695 4.0592
Si 3.0204 0.8565 2.9389
Si 3.8949 0.8565 6.8745
Ni 1.7799 0.8565 5.8365
Ni 2.9683 2.5695 1.1616

---

Entry 9:
8
Lattice="4.7573 0.0000 0.0000 0.0000 3.7600 0.0000 -0.6494 0.0000 5.9722" Properties=species:S:1:pos:R:3 comment="HfSi4Ni3 (GGA-PBE, optimized geometry)" total_energy_ry_per_atom=-0.475 magnetic_moment_mub_per_fu=0.0 pbc="T T T"
Hf 0.0000 0.0000 0.0000
Si 0.3440 1.8800 4.2099
Si 1.8078 0.0000 4.5716
Si 2.1497 0.0000 1.7693
Si 3.9365 1.8800 1.7649
Ni -0.0252 0.0000 2.9059
Ni 2.3217 1.8800 0.1381
Ni 2.8714 1.8800 3.8094

---

Entry 10:
6
Lattice="4.5101 0.0000 0.0000 -2.2551 3.9059 0.0000 0.0000 0.0000 5.2285" Properties=species:S:1:pos:R:3 comment="HfSiNi (GGA-PBE, optimized geometry)" total_energy_ry_per_atom=-0.537 magnetic_moment_mub_per_fu=0.0 pbc="T T T"
Hf 0.0000 2.6039 1.3071
Hf 2.2551 1.3020 3.9214
Si 0.0000 2.6039 3.9214
Si 2.2551 1.3020 1.3071
Ni 0.0000 0.0000 0.0000
Ni 0.0000 0.0000 2.6143

---

Entry 11:
5
Lattice="-1.8755 1.8755 4.8220 1.8755 -1.8755 4.8220 1.8755 1.8755 -4.8220" Properties=species:S:1:pos:R:3 comment="HfSi2Ni2 (GGA-PBE, optimized geometry)" total_energy_ry_per_atom=-0.526 magnetic_moment_mub_per_fu=0.0 pbc="T T T"
Hf 0.0000 0.0000 0.0000
Si 0.0000 0.0000 3.6724
Si 0.0000 0.0000 5.9715
Ni 1.8755 0.0000 2.4110
Ni 0.0000 1.8755 2.4110

---

Entry 12:
6
Lattice="4.0135 0.0000 0.0000 -2.0068 3.4758 0.0000 0.0000 0.0000 6.3989" Properties=species:S:1:pos:R:3 comment="HfSiNi (GGA-PBE, optimized geometry)" total_energy_ry_per_atom=-0.575 magnetic_moment_mub_per_fu=0.0 pbc="T T T"
Hf 0.0000 0.0000 0.0000
Hf 0.0000 0.0000 3.1995
Si 0.0000 2.3172 1.4908
Si 2.0068 1.1586 4.6903
Ni 0.0000 2.3172 5.2409
Ni 2.0068 1.1586 2.0414

---

Entry 13:
9
Lattice="7.2842 0.0000 0.0000 -3.6421 6.3083 0.0000 0.0000 0.0000 3.0176" Properties=species:S:1:pos:R:3 comment="HfSiNi (GGA-PBE, optimized geometry)" total_energy_ry_per_atom=-0.534 magnetic_moment_mub_per_fu=0.0 pbc="T T T"
Hf -1.0682 1.8503 0.0000
Hf 2.1365 0.0000 0.0000
Hf 2.5739 4.4581 0.0000
Si 0.0000 0.0000 1.5088
Si 0.0000 4.2056 0.0000
Si 3.6421 2.1028 0.0000
Ni -2.3201 4.0185 1.5088
Ni 1.3220 2.2898 1.5088
Ni 4.6402 0.0000 1.5088

---

Entry 14:
8
Lattice="3.7499 0.0000 0.0000 0.0000 4.8352 0.0000 0.0000 0.0000 6.6661" Properties=species:S:1:pos:R:3 comment="HfSi2Ni (GGA-PBE, optimized geometry)" total_energy_ry_per_atom=-0.507 magnetic_moment_mub_per_fu=0.0 pbc="T T T"
Hf 0.0000 0.4656 0.0000
Hf 0.0000 4.3696 3.3331
Si 0.0000 2.0601 2.3892
Si 0.0000 2.7750 5.7223
Si 1.8750 0.6271 1.8475
Si 1.8750 4.2080 5.1806
Ni 1.8750 1.7583 4.2793
Ni 1.8750 3.0769 0.9463

---

Entry 15:
4
Lattice="0.0000 3.2120 3.2120 3.2120 0.0000 3.2120 3.2120 3.2120 0.0000" Properties=species:S:1:pos:R:3 comment="Hf2SiNi (GGA-PBE, optimized geometry)" total_energy_ry_per_atom=-0.559 magnetic_moment_mub_per_fu=0.6 pbc="T T T"
Hf 0.0000 0.0000 0.0000
Hf 1.6060 1.6060 1.6060
Si 3.2120 3.2120 3.2120
Ni 4.8180 4.8180 4.8180

---

Entry 16:
12
Lattice="6.4168 0.0000 0.0000 0.0000 3.7876 0.0000 0.0000 0.0000 7.2185" Properties=species:S:1:pos:R:3 comment="HfSiNi (GGA-PBE, optimized geometry)" total_energy_ry_per_atom=-0.579 magnetic_moment_mub_per_fu=0.0 pbc="T T T"
Hf 0.1097 0.9469 1.3368
Hf 3.0987 2.8407 4.9460
Hf 3.3181 0.9469 2.2725
Hf 6.3071 2.8407 5.8817
Si 1.4633 2.8407 2.7789
Si 1.7451 0.9469 6.3882
Si 4.6717 2.8407 0.8303
Si 4.9535 0.9469 4.4395
Ni 0.9066 0.9469 4.0580
Ni 2.3018 2.8407 0.4488
Ni 4.1150 0.9469 6.7697
Ni 5.5102 2.8407 3.1604

---

Entry 17:
12
Lattice="5.0163 0.0000 0.0000 0.0000 3.8447 0.0000 0.0000 0.0000 9.5173" Properties=species:S:1:pos:R:3 comment="HfSiNi (GGA-PBE, optimized geometry)" total_energy_ry_per_atom=-0.560 magnetic_moment_mub_per_fu=0.0 pbc="T T T"
Hf 0.6917 0.9612 1.2178
Hf 1.8164 2.8835 5.9765
Hf 3.1999 0.9612 3.5409
Hf 4.3245 2.8835 8.2995
Si 0.6858 2.8835 3.2155
Si 1.8223 0.9612 7.9741
Si 3.1940 2.8835 1.5432
Si 4.3304 0.9612 6.3019
Ni 0.7469 0.9612 4.3557
Ni 1.7612 2.8835 9.1143
Ni 3.2550 0.9612 0.4030
Ni 4.2694 2.8835 5.1617

---

Entry 18:
9
Lattice="6.3410 0.0000 0.0000 -3.1705 5.4914 0.0000 0.0000 0.0000 3.7843" Properties=species:S:1:pos:R:3 comment="HfSiNi (GGA-PBE, optimized geometry)" total_energy_ry_per_atom=-0.569 magnetic_moment_mub_per_fu=0.0 pbc="T T T"
Hf -1.8772 3.2515 0.0000
Hf 1.2932 2.2400 0.0000
Hf 3.7545 0.0000 0.0000
Si -0.8124 1.4072 1.8922
Si 1.6249 0.0000 1.8922
Si 2.3580 4.0842 1.8922
Ni 0.0000 0.0000 0.0000
Ni 0.0000 3.6610 1.8922
Ni 3.1705 1.8305 1.8922

---

Entry 19:
24
Lattice="10.2965 0.0000 0.0000 0.0000 4.2000 0.0000 -3.4411 0.0000 9.7193" Properties=species:S:1:pos:R:3 comment="Hf2SiNi2Sn (GGA-PBE, optimized geometry)" total_energy_ry_per_atom=-0.547 magnetic_moment_mub_per_fu=0.0 pbc="T T T"
Hf 0.0000 0.0000 0.0000
Hf -0.0658 2.1000 3.6313
Hf -0.0883 0.0000 7.2000
Hf 3.3935 2.1000 1.3317
Hf 3.4573 0.0000 4.8361
Hf 3.4758 2.1000 8.4127
Hf 6.7999 0.0000 2.5278
Hf 6.7991 2.1000 6.0230
Si 1.6726 0.0000 2.4528
Si 5.1190 2.1000 3.6651
Si 5.1479 0.0000 7.2624
Si 8.5267 0.0000 4.8485
Ni 0.8868 2.1000 1.2986
Ni 0.7686 0.0000 4.7481
Ni 0.8200 2.1000 8.4849
Ni 4.2532 0.0000 2.5190
Ni 4.3328 2.1000 6.0276
Ni 4.3070 0.0000 9.6113
Ni 7.6483 2.1000 3.7017
Ni 7.6138 0.0000 7.1890
Sn -1.7513 2.1000 8.4996
Sn 1.6872 2.1000 6.0358
Sn 1.6872 0.0000 9.7099
Sn 8.5308 2.1000 1.2087

---

Entry 20:
10
Lattice="4.7530 -1.9196 0.0000 4.7530 1.9196 0.0000 -4.3847 0.0000 8.1588" Properties=species:S:1:pos:R:3 comment="HfTaSi2Ni (GGA-PBE, optimized geometry)" total_energy_ry_per_atom=-0.617 magnetic_moment_mub_per_fu=0.0 pbc="T T T"
Hf -0.7151 0.0000 1.4683
Hf 5.8363 0.0000 6.6906
Ta -0.8261 0.0000 4.8869
Ta 5.9473 0.0000 3.2720
Si -0.7526 0.0000 7.6088
Si 1.8208 0.0000 4.9970
Si 3.3003 0.0000 3.1619
Si 5.8738 0.0000 0.5501
Ni 2.0463 0.0000 1.2549
Ni 3.0749 0.0000 6.9039

---

Entry 21:
4
Lattice="0.0000 3.2953 3.2953 3.2953 0.0000 3.2953 3.2953 3.2953 0.0000" Properties=species:S:1:pos:R:3 comment="YHfSiNi (GGA-PBE, optimized geometry)" total_energy_ry_per_atom=-0.492 magnetic_moment_mub_per_fu=1.4 pbc="T T T"
Y 0.0000 0.0000 0.0000
Hf 1.6476 1.6476 1.6476
Si 3.2953 3.2953 3.2953
Ni 4.9429 4.9429 4.9429

---

Entry 22:
11
Lattice="-1.9258 3.1904 6.3395 1.9258 -3.1904 6.3395 1.9258 3.1904 -6.3395" Properties=species:S:1:pos:R:3 comment="Hf2ZrSi4Ni4 (GGA-PBE, optimized geometry)" total_energy_ry_per_atom=-0.549 magnetic_moment_mub_per_fu=0.0 pbc="T T T"
Hf 0.0000 0.0000 1.6042
Hf 0.0000 0.0000 11.0748
Zr 0.0000 3.1904 0.0000
Si 1.9258 1.2320 0.0000
Si 1.9258 0.0000 3.6193
Si 0.0000 3.1904 2.7202
Si 0.0000 1.9584 6.3395
Ni 1.9258 1.9200 -2.2302
Ni 1.9258 1.9200 2.2302
Ni 0.0000 1.2704 4.1093
Ni 0.0000 1.2704 8.5697

---

Entry 23:
10
Lattice="4.8987 -1.9391 0.0000 4.8987 1.9391 0.0000 -4.4076 0.0000 8.3555" Properties=species:S:1:pos:R:3 comment="HfZrSi2Ni (GGA-PBE, optimized geometry)" total_energy_ry_per_atom=-0.580 de_polymorph_ev_per_fu=0.00 magnetic_moment_mub_per_fu=0.0 pbc="T T T"
Hf -0.7530 0.0000 1.4634
Hf 6.1428 0.0000 6.8922
Zr -0.7961 0.0000 5.0381
Zr 6.1859 0.0000 3.3174
Si -0.6237 0.0000 7.8120
Si 1.9957 0.0000 5.1721
Si 3.3941 0.0000 3.1834
Si 6.0135 0.0000 0.5435
Ni 2.1167 0.0000 1.1927
Ni 3.2731 0.0000 7.1628

---

Entry 24:
10
Lattice="4.8890 -1.9428 0.0000 4.8890 1.9428 0.0000 -4.4143 0.0000 8.3485" Properties=species:S:1:pos:R:3 comment="HfZrSi2Ni (GGA-PBE, optimized geometry)" total_energy_ry_per_atom=-0.579 de_polymorph_ev_per_fu=0.05 magnetic_moment_mub_per_fu=0.0 pbc="T T T"
Hf 1.3982 0.0000 0.8567
Hf 3.9655 0.0000 7.4918
Zr -2.9581 0.0000 5.6512
Zr 8.3218 0.0000 2.6973
Si 1.5526 0.0000 3.6308
Si 4.1767 0.0000 0.9767
Si 1.1870 0.0000 7.3719
Si 3.8110 0.0000 4.7177
Ni -0.1052 0.0000 5.4018
Ni 5.4689 0.0000 2.9467